Density functional theory data (PBE with a Hubbard U) for a geometry-optimized Rh2W2F structure.

Cell and atoms, written as POSCAR:
```
Rh2W2F
1.0
7.579 0.000 0.000
0.000 7.579 0.000
0.000 0.000 2.822
Rh W F
4 4 2
Direct
0.128 0.372 0.000
0.372 0.872 0.000
0.628 0.128 0.000
0.872 0.628 0.000
0.169 0.669 0.500
0.331 0.169 0.500
0.669 0.831 0.500
0.831 0.331 0.500
0.000 0.000 0.500
0.500 0.500 0.500
```

Output
The value obtained for the energy is -58.1 eV for the cell shown. For the calculated density, the calculation gives 12.14 g cm⁻³.